1.
Compound: Ba3Tl3Ag8
Source: Alexandria via LeMat-Bulk
Functional: PBE
Structure: relaxed

Structure (extended XYZ):
```
14
Lattice="-2.5227 5.0757 7.4947 2.5227 -5.0757 7.4947 2.5227 5.0757 -7.4947" Properties=species:S:1:pos:R:3 pbc="T T T"
Ba 0.0000 0.0000 0.0000
Ba 0.0000 0.0000 4.5095
Ba 0.0000 0.0000 10.4798
Tl 2.5227 2.9206 0.0000
Tl 0.0000 5.0757 0.0000
Tl 0.0000 2.1551 7.4947
Ag 2.5227 -1.4243 2.5261
Ag 2.5227 -2.2869 5.3307
Ag 2.5227 1.4243 2.5261
Ag 0.0000 2.7888 2.1640
Ag 2.5227 2.2869 5.3307
Ag 0.0000 3.6514 4.9686
Ag 0.0000 7.3626 2.1640
Ag 0.0000 6.5000 4.9686
```

Properties
- Formation energy: -181 meV per atom
- Space-group type: Immm, No. 71

***

2.
Compound: Ba3TlAg
Source: Alexandria via LeMat-Bulk
Functional: PBE
Structure: relaxed

Structure (extended XYZ):
```
5
Lattice="6.3940 0.0000 0.0000 0.0000 6.3940 0.0000 0.0000 0.0000 6.3940" Properties=species:S:1:pos:R:3 pbc="T T T"
Ba 0.0000 0.0000 3.1970
Ba 0.0000 3.1970 0.0000
Ba 3.1970 0.0000 0.0000
Tl 3.1970 3.1970 3.1970
Ag 0.0000 0.0000 0.0000
```

Properties
- Energy above the most stable polymorph in this dataset: 243.8 meV per atom
- Formation energy: -19 meV per atom
- Space-group type: Pm-3m, No. 221